# CsNa2V2O6

A geometry-optimized CsNa2V2O6 structure (PBE with a Hubbard U, the Alexandria database).

The structure in CIF format:
```
data_CsNa2V2O6
_chemical_formula_sum 'Cs1 Na2 V2 O6'
_space_group_name_H-M_alt 'P 1'
_space_group_IT_number 1
_space_group_name_Hall 'P 1'
_cell_length_a 6.4319
_cell_length_b 7.7625
_cell_length_c 5.8928
_cell_angle_alpha 123.44
_cell_angle_beta 85.50
_cell_angle_gamma 67.75
loop_
_atom_site_label
_atom_site_fract_x
_atom_site_fract_y
_atom_site_fract_z
_atom_site_occupancy
O1 0.1212 0.5794 0.8751 1
O2 0.5405 0.2607 0.0925 1
O3 0.0591 0.8951 0.7133 1
Na1 0.8451 0.4538 0.7494 1
O4 0.4595 0.7393 0.9075 1
V1 0.1721 0.7999 0.9335 1
Cs1 0.5000 0.0000 0.5000 1
O5 0.8788 0.4206 0.1249 1
Na2 0.1549 0.5462 0.2506 1
V2 0.8279 0.2001 0.0665 1
O6 0.9409 0.1049 0.2867 1
```

Properties
Its volume is 210.9 Å³ per cell. The total energy is -6.285 eV per atom. The symmetry is P-1.